P) CuTePb | GGA-PBE | optimized geometry

## Properties
Space-group type ... P3m1 (156)
Crystal system ... trigonal

```
3
Lattice="4.183 0.000 0.000 -2.091 3.622 0.000 0.000 0.000 5.152" Properties=species:S:1:pos:R:3 pbc="T T T"
Cu 0.000 0.000 0.000
Te 0.000 2.415 4.142
Pb 2.091 1.207 1.596
```

Q) CuTePb | GGA-PBE | optimized geometry

## Properties
Space-group type ... Imm2 (44)
Crystal system ... orthorhombic

```
6
Lattice="3.355 0.000 0.000 0.000 3.764 0.000 0.000 0.000 12.123" Properties=species:S:1:pos:R:3 pbc="T T T"
Cu 0.000 0.000 0.000
Cu 1.678 1.882 6.061
Te 0.000 0.000 7.290
Te 1.678 1.882 1.229
Pb 0.000 0.000 4.183
Pb 1.678 1.882 10.245
```

R) CuTePb | GGA-PBE | optimized geometry

## Properties
Space-group type ... Fmm2 (42)
Crystal system ... orthorhombic

```
12
Lattice="4.356 0.000 0.000 0.000 5.770 0.000 0.000 0.000 12.430" Properties=species:S:1:pos:R:3 pbc="T T T"
Cu 0.000 0.000 0.000
Cu 0.000 2.885 6.215
Cu 2.178 0.000 6.215
Cu 2.178 2.885 0.000
Te 0.000 0.000 4.806
Te 0.000 2.885 11.020
Te 2.178 0.000 11.020
Te 2.178 2.885 4.806
Pb 0.000 0.000 8.026
Pb 0.000 2.885 1.811
Pb 2.178 0.000 1.811
Pb 2.178 2.885 8.026
```

S) CuTePb | GGA-PBE | optimized geometry

## Properties
Space-group type ... F-43m (216)
Crystal system ... cubic

```
12
Lattice="6.835 0.000 0.000 0.000 6.835 0.000 0.000 0.000 6.835" Properties=species:S:1:pos:R:3 pbc="T T T"
Cu 0.000 0.000 0.000
Cu 0.000 3.417 3.417
Cu 3.417 0.000 3.417
Cu 3.417 3.417 0.000
Te 1.709 1.709 1.709
Te 1.709 5.126 5.126
Te 5.126 1.709 5.126
Te 5.126 5.126 1.709
Pb 1.709 1.709 5.126
Pb 1.709 5.126 1.709
Pb 5.126 1.709 1.709
Pb 5.126 5.126 5.126
```

Which is the most stable structure? P) is the most stable.

P) Cu2TePb | GGA-PBE | optimized geometry

## Properties
Space-group type ... Fm-3m (225)
Crystal system ... cubic

```
16
Lattice="6.954 0.000 0.000 0.000 6.954 0.000 0.000 0.000 6.954" Properties=species:S:1:pos:R:3 pbc="T T T"
Cu 1.738 1.738 1.738
Cu 1.738 1.738 5.215
Cu 1.738 5.215 1.738
Cu 1.738 5.215 5.215
Cu 5.215 1.738 1.738
Cu 5.215 1.738 5.215
Cu 5.215 5.215 1.738
Cu 5.215 5.215 5.215
Te 0.000 0.000 0.000
Te 0.000 3.477 3.477
Te 3.477 0.000 3.477
Te 3.477 3.477 0.000
Pb 0.000 0.000 3.477
Pb 0.000 3.477 0.000
Pb 3.477 0.000 0.000
Pb 3.477 3.477 3.477
```

Q) Cu2TePb | GGA-PBE | optimized geometry

## Properties
Space-group type ... I-42d (122)
Crystal system ... tetragonal

```
16
Lattice="6.608 0.000 0.000 0.000 6.608 0.000 0.000 0.000 9.503" Properties=species:S:1:pos:R:3 pbc="T T T"
Cu 1.488 1.652 1.188
Cu 1.652 4.791 3.564
Cu 1.652 5.120 8.315
Cu 1.816 1.652 5.939
Cu 4.791 4.956 5.939
Cu 4.956 1.488 8.315
Cu 4.956 1.816 3.564
Cu 5.120 4.956 1.188
Te 0.000 0.000 0.000
Te 0.000 3.304 2.376
Te 3.304 0.000 7.127
Te 3.304 3.304 4.752
Pb 0.000 0.000 4.752
Pb 0.000 3.304 7.127
Pb 3.304 0.000 2.376
Pb 3.304 3.304 0.000
```

R) Cu2TePb | GGA-PBE | optimized geometry

## Properties
Space-group type ... I-4m2 (119)
Crystal system ... tetragonal

```
8
Lattice="3.894 0.000 0.000 0.000 3.894 0.000 0.000 0.000 11.540" Properties=species:S:1:pos:R:3 pbc="T T T"
Cu 0.000 0.000 0.000
Cu 0.000 1.947 2.885
Cu 1.947 0.000 8.655
Cu 1.947 1.947 5.770
Te 0.000 0.000 5.770
Te 1.947 1.947 0.000
Pb 0.000 1.947 8.655
Pb 1.947 0.000 2.885
```

S) Cu2TePb | GGA-PBE | optimized geometry

## Properties
Space-group type ... Imm2 (44)
Crystal system ... orthorhombic

```
8
Lattice="3.823 0.000 0.000 0.000 3.851 0.000 0.000 0.000 12.050" Properties=species:S:1:pos:R:3 pbc="T T T"
Cu 0.000 0.000 0.000
Cu 0.000 1.925 1.616
Cu 1.911 0.000 7.641
Cu 1.911 1.925 6.025
Te 0.000 1.925 8.078
Te 1.911 0.000 2.052
Pb 0.000 0.000 4.910
Pb 1.911 1.925 10.935
```

Which is the most stable structure? S) is the most stable.

P) Cu2TePb | GGA-PBE | optimized geometry

## Properties
Space-group type ... Immm (71)
Crystal system ... orthorhombic

```
8
Lattice="3.964 0.000 0.000 0.000 5.592 0.000 0.000 0.000 7.845" Properties=species:S:1:pos:R:3 pbc="T T T"
Cu 0.000 0.000 1.857
Cu 0.000 0.000 5.987
Cu 1.982 2.796 2.065
Cu 1.982 2.796 5.779
Te 0.000 2.796 3.922
Te 1.982 0.000 0.000
Pb 0.000 2.796 0.000
Pb 1.982 0.000 3.922
```

Q) Cu2TePb | GGA-PBE | optimized geometry

## Properties
Space-group type ... R-3m (166)
Crystal system ... trigonal

```
12
Lattice="4.082 0.000 0.000 -2.041 3.535 0.000 0.000 0.000 17.995" Properties=species:S:1:pos:R:3 pbc="T T T"
Cu 0.000 0.000 4.309
Cu 0.000 0.000 13.686
Cu 0.000 2.357 7.687
Cu 0.000 2.357 16.305
Cu 2.041 1.178 1.689
Cu 2.041 1.178 10.307
Te 0.000 0.000 8.997
Te 0.000 2.357 2.999
Te 2.041 1.178 14.996
Pb 0.000 0.000 0.000
Pb 0.000 2.357 11.996
Pb 2.041 1.178 5.998
```

R) Cu2TePb | GGA-PBE | optimized geometry

## Properties
Space-group type ... P2/m (10)
Crystal system ... monoclinic

```
4
Lattice="4.107 0.000 0.000 0.000 4.182 0.000 -0.012 0.000 5.486" Properties=species:S:1:pos:R:3 pbc="T T T"
Cu 0.021 0.000 1.205
Cu 4.074 0.000 4.281
Te -0.006 2.091 2.743
Pb 2.053 2.091 0.000
```

Which is the most stable structure? R) is the most stable.

P) ThCuPb2 | GGA-PBE | optimized geometry

## Properties
Space-group type ... R-3m (166)
Crystal system ... trigonal

```
12
Lattice="3.455 0.000 0.000 -1.727 2.992 0.000 0.000 0.000 32.246" Properties=species:S:1:pos:R:3 pbc="T T T"
Th 0.000 0.000 0.000
Th 0.000 1.994 21.498
Th 1.727 0.997 10.749
Cu 0.000 0.000 16.123
Cu 0.000 1.994 5.374
Cu 1.727 0.997 26.872
Pb 0.000 0.000 3.348
Pb 0.000 0.000 28.898
Pb 0.000 1.994 18.149
Pb 0.000 1.994 24.846
Pb 1.727 0.997 7.400
Pb 1.727 0.997 14.097
```

Q) ThCuPb2 | GGA-PBE | optimized geometry

## Properties
Space-group type ... P4/mmm (123)
Crystal system ... tetragonal

```
4
Lattice="4.722 0.000 0.000 0.000 4.722 0.000 0.000 0.000 4.649" Properties=species:S:1:pos:R:3 pbc="T T T"
Th 0.000 0.000 0.000
Cu 2.361 2.361 0.000
Pb 0.000 2.361 2.325
Pb 2.361 0.000 2.325
```

Which is the most stable structure? Q) is the most stable.

P) Ti2CuPb2 | GGA-PBE | optimized geometry

## Properties
Space-group type ... P4/mbm (127)
Crystal system ... tetragonal

```
10
Lattice="7.152 0.000 0.000 0.000 7.152 0.000 0.000 0.000 4.094" Properties=species:S:1:pos:R:3 pbc="T T T"
Ti 1.010 2.566 0.000
Ti 2.566 6.142 0.000
Ti 4.585 1.010 0.000
Ti 6.142 4.585 0.000
Cu 0.000 0.000 2.047
Cu 3.576 3.576 2.047
Pb 1.139 4.715 2.047
Pb 2.437 1.139 2.047
Pb 4.715 6.012 2.047
Pb 6.012 2.437 2.047
```

Q) Ti2CuPb2 | GGA-PBE | optimized geometry

## Properties
Space-group type ... P4/mbm (127)
Crystal system ... tetragonal

```
10
Lattice="6.853 0.000 0.000 0.000 6.853 0.000 0.000 0.000 4.401" Properties=species:S:1:pos:R:3 pbc="T T T"
Ti 0.964 2.463 0.000
Ti 2.463 5.889 0.000
Ti 4.391 0.964 0.000
Ti 5.889 4.391 0.000
Cu 0.000 0.000 0.000
Cu 3.427 3.427 0.000
Pb 1.176 4.603 2.200
Pb 2.251 1.176 2.200
Pb 4.603 5.677 2.200
Pb 5.677 2.251 2.200
```

Which is the most stable structure? Q) is the most stable.

P) Tl2Cu2Pb | GGA-PBE | optimized geometry

## Properties
Space-group type ... P4/mbm (127)
Crystal system ... tetragonal

```
10
Lattice="8.446 0.000 0.000 0.000 8.446 0.000 0.000 0.000 3.173" Properties=species:S:1:pos:R:3 pbc="T T T"
Tl 1.183 3.040 0.000
Tl 3.040 7.263 0.000
Tl 5.406 1.183 0.000
Tl 7.263 5.406 0.000
Cu 1.309 5.532 1.586
Cu 2.914 1.309 1.586
Cu 5.532 7.137 1.586
Cu 7.137 2.914 1.586
Pb 0.000 0.000 0.000
Pb 4.223 4.223 0.000
```

Q) Tl2Cu2Pb | GGA-PBE | optimized geometry

## Properties
Space-group type ... I4/mmm (139)
Crystal system ... tetragonal

```
10
Lattice="4.417 0.000 0.000 0.000 4.417 0.000 0.000 0.000 12.018" Properties=species:S:1:pos:R:3 pbc="T T T"
Tl 0.000 2.209 3.005
Tl 0.000 2.209 9.014
Tl 2.209 0.000 3.005
Tl 2.209 0.000 9.014
Cu 0.000 0.000 1.190
Cu 0.000 0.000 10.829
Cu 2.209 2.209 4.819
Cu 2.209 2.209 7.199
Pb 0.000 0.000 6.009
Pb 2.209 2.209 0.000
```

Which is the most stable structure? Q) is the most stable.

P) Tl2Cu2Pb | GGA-PBE | optimized geometry

## Properties
Space-group type ... I4/mmm (139)
Crystal system ... tetragonal

```
10
Lattice="3.450 0.000 0.000 0.000 3.450 0.000 0.000 0.000 19.958" Properties=species:S:1:pos:R:3 pbc="T T T"
Tl 0.000 0.000 2.597
Tl 0.000 0.000 17.361
Tl 1.725 1.725 7.382
Tl 1.725 1.725 12.576
Cu 0.000 1.725 4.989
Cu 0.000 1.725 14.968
Cu 1.725 0.000 4.989
Cu 1.725 0.000 14.968
Pb 0.000 0.000 9.979
Pb 1.725 1.725 0.000
```

Q) Tl2Cu2Pb | GGA-PBE | optimized geometry

## Properties
Space-group type ... P4/mbm (127)
Crystal system ... tetragonal

```
10
Lattice="7.386 0.000 0.000 0.000 7.386 0.000 0.000 0.000 4.142" Properties=species:S:1:pos:R:3 pbc="T T T"
Tl 1.243 2.450 0.000
Tl 2.450 6.143 0.000
Tl 4.936 1.243 0.000
Tl 6.143 4.936 0.000
Cu 0.890 4.583 2.071
Cu 2.803 0.890 2.071
Cu 4.583 6.496 2.071
Cu 6.496 2.803 2.071
Pb 0.000 0.000 2.071
Pb 3.693 3.693 2.071
```

Which is the most stable structure? P) is the most stable.

P) Tl2CuPb2 | GGA-PBE | optimized geometry

## Properties
Space-group type ... P4/mbm (127)
Crystal system ... tetragonal

```
10
Lattice="7.305 0.000 0.000 0.000 7.305 0.000 0.000 0.000 5.275" Properties=species:S:1:pos:R:3 pbc="T T T"
Tl 1.132 2.521 0.000
Tl 2.521 6.173 0.000
Tl 4.785 1.132 0.000
Tl 6.173 4.785 0.000
Cu 0.000 0.000 0.000
Cu 3.653 3.653 0.000
Pb 1.209 4.861 2.638
Pb 2.444 1.209 2.638
Pb 4.861 6.096 2.638
Pb 6.096 2.444 2.638
```

Q) Tl2CuPb2 | GGA-PBE | optimized geometry

## Properties
Space-group type ... P4/mbm (127)
Crystal system ... tetragonal

```
10
Lattice="7.251 0.000 0.000 0.000 7.251 0.000 0.000 0.000 5.583" Properties=species:S:1:pos:R:3 pbc="T T T"
Tl 1.176 2.449 0.000
Tl 2.449 6.075 0.000
Tl 4.802 1.176 0.000
Tl 6.075 4.802 0.000
Cu 0.000 0.000 2.791
Cu 3.625 3.625 2.791
Pb 1.139 4.764 2.791
Pb 2.487 1.139 2.791
Pb 4.764 6.112 2.791
Pb 6.112 2.487 2.791
```

Which is the most stable structure? Q) is the most stable.